No. 1
## IrSN2Cl (PBE)

Data for a relaxed structure of IrSN2Cl.

Cell lengths 3.753, 3.753, 5.456 Å; angles 90.00, 90.00, 90.00 degrees
Space group P4/mmm (No. 123)
Asymmetric unit:
Ir 0.000 0.000 0.000 [1 per cell]
S 0.000 0.000 0.500 [1 per cell]
N 0.000 0.500 0.000 [2 per cell]
Cl 0.500 0.500 0.500 [1 per cell]

Properties
The spin magnetization comes out at 0.39 μB/f.u. The calculation puts the energy above the most stable polymorph in this dataset at 0.000 eV/atom. The raw total energy is -0.196 Ha/atom. Its density of states at the Fermi level is 0.3474 states/eV/atom.

No. 2
## IrSN2Cl (PBE)

Data for a relaxed structure of IrSN2Cl.

Cell lengths 3.439, 3.439, 7.528 Å; angles 90.00, 90.00, 90.00 degrees
Space group P4/mmm (No. 123)
Asymmetric unit:
Ir 0.000 0.000 0.000 [1 per cell]
S 0.500 0.500 0.000 [1 per cell]
N 0.000 0.500 0.500 [2 per cell]
Cl 0.500 0.500 0.500 [1 per cell]

Properties
The spin magnetization comes out at 0.00 μB/f.u. The calculation puts the energy above the most stable polymorph in this dataset at 1.435 eV/atom. The raw total energy is -0.144 Ha/atom. Its density of states at the Fermi level is 0.9679 states/eV/atom.

No. 3
## IrSNCl2 (PBE)

Data for a relaxed structure of IrSNCl2.

Cell lengths 4.820, 4.820, 4.448 Å; angles 90.00, 90.00, 90.00 degrees
Space group P4/mmm (No. 123)
Asymmetric unit:
Ir 0.000 0.000 0.000 [1 per cell]
S 0.000 0.000 0.500 [1 per cell]
N 0.500 0.500 0.500 [1 per cell]
Cl 0.000 0.500 0.000 [2 per cell]

Properties
The spin magnetization comes out at 0.00 μB/f.u. The calculation puts the energy above the most stable polymorph in this dataset at 0.000 eV/atom. The raw total energy is -0.128 Ha/atom. Its density of states at the Fermi level is 1.6452 states/eV/atom.

No. 4
## IrSNCl2 (PBE)

Data for a relaxed structure of IrSNCl2.

Cell lengths 4.074, 4.074, 4.668 Å; angles 90.00, 90.00, 90.00 degrees
Space group P4/mmm (No. 123)
Asymmetric unit:
Ir 0.000 0.000 0.000 [1 per cell]
S 0.500 0.500 0.000 [1 per cell]
N 0.500 0.500 0.500 [1 per cell]
Cl 0.000 0.500 0.500 [2 per cell]

Properties
The spin magnetization comes out at 1.92 μB/f.u. The calculation puts the energy above the most stable polymorph in this dataset at 0.187 eV/atom. The raw total energy is -0.121 Ha/atom. Its density of states at the Fermi level is 0.7704 states/eV/atom.

No. 5
## IrSNCl2 (PBE)

Data for a relaxed structure of IrSNCl2.

Cell lengths 4.782, 4.782, 4.426 Å; angles 90.00, 90.00, 90.00 degrees
Space group P4/mmm (No. 123)
Asymmetric unit:
Ir 0.000 0.000 0.000 [1 per cell]
S 0.000 0.000 0.500 [1 per cell]
N 0.500 0.500 0.000 [1 per cell]
Cl 0.000 0.500 0.500 [2 per cell]

Properties
The spin magnetization comes out at 0.00 μB/f.u. The calculation puts the energy above the most stable polymorph in this dataset at 0.520 eV/atom. The raw total energy is -0.109 Ha/atom. Its density of states at the Fermi level is 2.7210 states/eV/atom.

No. 6
## IrSeN2Cl (PBE)

Data for a relaxed structure of IrSeN2Cl.

Cell lengths 3.531, 3.531, 7.777 Å; angles 90.00, 90.00, 90.00 degrees
Space group P4/mmm (No. 123)
Asymmetric unit:
Ir 0.000 0.000 0.000 [1 per cell]
Se 0.500 0.500 0.000 [1 per cell]
N 0.000 0.500 0.500 [2 per cell]
Cl 0.500 0.500 0.500 [1 per cell]

Properties
The spin magnetization comes out at 0.00 μB/f.u. The calculation puts the energy above the most stable polymorph in this dataset at 1.545 eV/atom. The raw total energy is -0.139 Ha/atom. Its density of states at the Fermi level is 0.4903 states/eV/atom.

No. 7
## IrSeN2Cl (PBE)

Data for a relaxed structure of IrSeN2Cl.

Cell lengths 3.782, 3.782, 5.639 Å; angles 90.00, 90.00, 90.00 degrees
Space group P4/mmm (No. 123)
Asymmetric unit:
Ir 0.000 0.000 0.000 [1 per cell]
Se 0.000 0.000 0.500 [1 per cell]
N 0.000 0.500 0.000 [2 per cell]
Cl 0.500 0.500 0.500 [1 per cell]

Properties
The spin magnetization comes out at 0.34 μB/f.u. The calculation puts the energy above the most stable polymorph in this dataset at 0.000 eV/atom. The raw total energy is -0.196 Ha/atom. Its density of states at the Fermi level is 0.3366 states/eV/atom.

No. 8
## Sn2IrNCl (PBE)

Data for a relaxed structure of Sn2IrNCl.

Cell lengths 5.140, 5.140, 4.693 Å; angles 90.00, 90.00, 90.00 degrees
Space group P4/mmm (No. 123)
Asymmetric unit:
Sn 0.000 0.500 0.000 [2 per cell]
Ir 0.000 0.000 0.000 [1 per cell]
N 0.500 0.500 0.500 [1 per cell]
Cl 0.000 0.000 0.500 [1 per cell]

Properties
The spin magnetization comes out at 0.14 μB/f.u. The raw total energy is -0.157 Ha/atom. Its density of states at the Fermi level is 1.3124 states/eV/atom.

| no. | raw formation energy (kcal/mol of atoms) |
| --- | --- |
| 1 | 22.02 |
| 2 | 55.11 |
| 3 | 35.03 |
| 4 | 39.35 |
| 5 | 47.03 |
| 6 | 54.81 |
| 7 | 19.18 |
| 8 | 26.37 |